This record from OQMD describes an optimized crystal structure of Rb2CoP4H8O16. The functional is PBE with a Hubbard U.

a = 6.8351 Å, b = 7.1880 Å, c = 7.5953 Å
α = 80.94°, β = 70.25°, γ = 85.68°
Last column: nearest neighbours and their distance in Å.
Space group P-1 (No. 2)
Unique sites:
Rb 0.0924 0.2158 0.2947 x2  7 O 2.80-3.12
Co 0.5000 0.0000 0.5000 x1  6 O 2.05-2.12
P 0.2273 0.3031 0.7637 x2  4 O 1.51-1.63
P 0.3480 0.7632 0.2338 x2  4 O 1.51-1.61
H 0.0961 0.7681 0.0666 x2  1 O 1.06
H 0.2576 0.5278 0.4600 x2  1 O 1.06
H 0.3800 0.6719 0.7027 x2  1 O 1.00
H 0.3839 0.8120 0.8484 x2  1 O 1.00
O 0.0317 0.2986 0.9444 x2  1 H 1.06
O 0.2306 0.1466 0.6513 x2  1 P 1.51
O 0.2509 0.5649 0.3208 x2  1 H 1.06
O 0.2600 0.5000 0.6500 x2  1 H 1.43, 1 P 1.53
O 0.2731 0.8475 0.0708 x2  1 H 1.39, 1 P 1.52
O 0.3077 0.8838 0.3886 x2  1 P 1.51
O 0.4051 0.2701 0.8648 x2  2 P 1.61-1.63
O 0.4508 0.7819 0.7174 x2  2 H 1.00

## Properties
Total magnetization in Bohr magnetons per cell: 3.0
E_tot in eV for the cell shown: -188.4
Crystal system: triclinic